1.
# In2Au2I

An optimized crystal structure of In2Au2I (PBE-GGA, Alexandria via LeMat-Bulk).

Lattice parameters (Å, degrees): 8.4491 8.4491 3.6021 90.00 90.00 90.00
Closest atoms and distances in Å follow each position.
Fractional coordinates of all 10 atoms:
I  0.0000  0.0000  0.0000  4 In 3.10
I  0.5000  0.5000  0.0000  4 In 3.10
Au  0.1171  0.6171  0.5000  1 Au 2.80, 2 In 3.01
Au  0.6171  0.8829  0.5000  1 Au 2.80, 2 In 3.01
Au  0.8829  0.3829  0.5000  1 Au 2.80, 2 In 3.01
Au  0.3829  0.1171  0.5000  1 Au 2.80, 2 In 3.01
In  0.3188  0.8188  0.0000  6 Au 3.01-3.14, 2 I 3.10
In  0.8188  0.6812  0.0000  6 Au 3.01-3.14, 2 I 3.10
In  0.6812  0.1812  0.0000  6 Au 3.01-3.14, 2 I 3.10
In  0.1812  0.3188  0.0000  6 Au 3.01-3.14, 2 I 3.10

**Crystal system**: tetragonal
**Density of states at the Fermi level**: 0.3257 states/eV per atom
**Size of the total moment**: 0.00 μB per cell
**Space group**: No. 127
**Raw formation energy**: -0.023 eV/atom
**E above lowest polymorph**: 89.3 meV/atom

2.
# In2AuI

An optimized crystal structure of In2AuI (PBE-GGA, Alexandria via LeMat-Bulk).

Lattice parameters (Å, degrees): 5.5493 5.5493 5.5493 60.00 60.00 60.00
Closest atoms and distances in Å follow each position.
Fractional coordinates of all 4 atoms:
I  0.0000  0.0000  0.0000  8 In 3.40
Au  0.5000  0.5000  0.5000  8 In 3.40
In  0.2500  0.2500  0.2500  4 Au 3.40, 4 I 3.40
In  0.7500  0.7500  0.7500  4 Au 3.40, 4 I 3.40

**Crystal system**: cubic
**Density of states at the Fermi level**: 0.0552 states/eV per atom
**Size of the total moment**: 0.00 μB per cell
**Space group**: No. 225
**Raw formation energy**: -0.025 eV/atom
**E above lowest polymorph**: 227.6 meV/atom

3.
# InAuI4

An optimized crystal structure of InAuI4 (PBE-GGA, Alexandria via LeMat-Bulk).

Lattice parameters (Å, degrees): 8.1863 8.1863 9.7033 90.00 90.00 90.00
Closest atoms and distances in Å follow each position.
Fractional coordinates of all 12 atoms:
In  0.0000  0.5000  0.0000  4 I 2.88
In  0.5000  0.0000  0.5000  4 I 2.88
Au  0.0000  0.0000  0.5000  4 I 2.86
Au  0.0000  0.0000  0.0000  4 I 2.86
I  0.7517  0.2453  0.5000  1 Au 2.86, 1 In 2.88
I  0.7547  0.2483  0.0000  1 Au 2.86, 1 In 2.88
I  0.7517  0.7547  0.5000  1 Au 2.86, 1 In 2.88
I  0.2453  0.7517  0.0000  1 Au 2.86, 1 In 2.88
I  0.2483  0.7547  0.5000  1 Au 2.86, 1 In 2.88
I  0.2453  0.2483  0.0000  1 Au 2.86, 1 In 2.88
I  0.7547  0.7517  0.0000  1 Au 2.86, 1 In 2.88
I  0.2483  0.2453  0.5000  1 Au 2.86, 1 In 2.88

**Crystal system**: tetragonal
**Density of states at the Fermi level**: 0.6163 states/eV per atom
**Size of the total moment**: 0.00 μB per cell
**Space group**: No. 131
**Raw formation energy**: -0.138 eV/atom
**E above lowest polymorph**: 118.4 meV/atom

4.
# In2AuI6

An optimized crystal structure of In2AuI6 (PBE-GGA, Alexandria via LeMat-Bulk).

Lattice parameters (Å, degrees): 9.0723 11.9388 11.9388 72.96 60.56 60.56
Closest atoms and distances in Å follow each position.
Fractional coordinates of all 18 atoms:
In  0.2754  0.6049  0.8259  4 I 2.76-2.94
In  0.2246  0.1741  0.3951  4 I 2.76-2.94
In  0.7246  0.3951  0.1741  4 I 2.76-2.94
In  0.7754  0.8259  0.6049  4 I 2.76-2.94
Au  0.2500  0.1157  0.8843  2 I 2.60
Au  0.7500  0.8843  0.1157  2 I 2.60
I  0.6213  0.6419  0.6680  2 In 2.89-2.94
I  0.8787  0.3320  0.3581  2 In 2.89-2.94
I  0.3787  0.3581  0.3320  2 In 2.89-2.94
I  0.1213  0.6680  0.6419  2 In 2.89-2.94
I  0.8203  0.9530  0.3646  1 In 2.76
I  0.6797  0.6354  0.0470  1 In 2.76
I  0.1797  0.0470  0.6354  1 In 2.76
I  0.3203  0.3646  0.9530  1 In 2.76
I  0.1112  0.7906  0.0112  1 Au 2.60, 1 In 2.90
I  0.3888  0.9888  0.2094  1 Au 2.60, 1 In 2.90
I  0.8888  0.2094  0.9888  1 Au 2.60, 1 In 2.90
I  0.6112  0.0112  0.7906  1 Au 2.60, 1 In 2.90

**Crystal system**: monoclinic
**Density of states at the Fermi level**: 0.2976 states/eV per atom
**Size of the total moment**: 0.00 μB per cell
**Space group**: No. 15
**Raw formation energy**: -0.310 eV/atom

5.
# InIrAu2I

An optimized crystal structure of InIrAu2I (PBE-GGA, Alexandria via LeMat-Bulk).

Lattice parameters (Å, degrees): 5.0880 6.2513 5.0880 90.00 90.00 90.00
Closest atoms and distances in Å follow each position.
Fractional coordinates of all 5 atoms:
I  0.0000  0.5000  0.0000  2 In 3.13
Ir  0.5000  0.5000  0.5000  4 I 3.60
Au  0.0000  0.0000  0.5000  2 In 2.54
Au  0.5000  0.0000  0.0000  2 In 2.54
In  0.0000  0.0000  0.0000  4 Au 2.54

**Crystal system**: tetragonal
**Density of states at the Fermi level**: 0.7291 states/eV per atom
**Size of the total moment**: 2.34 μB per cell
**Space group**: No. 123
**Raw formation energy**: 1.413 eV/atom

6.
# InAuIO2

An optimized crystal structure of InAuIO2 (PBE-GGA, Alexandria via LeMat-Bulk).

Lattice parameters (Å, degrees): 4.0731 4.0731 6.7773 90.00 90.00 90.00
Closest atoms and distances in Å follow each position.
Fractional coordinates of all 5 atoms:
I  0.0000  0.0000  0.5000  4 Au 2.88
Au  0.5000  0.5000  0.5000  4 I 2.88
O  0.0000  0.5000  0.0000  2 In 2.04
O  0.5000  0.0000  0.0000  2 In 2.04
In  0.0000  0.0000  0.0000  4 O 2.04

**Crystal system**: tetragonal
**Density of states at the Fermi level**: 0.8347 states/eV per atom
**Size of the total moment**: 0.00 μB per cell
**Space group**: No. 123
**Raw formation energy**: -0.155 eV/atom
**E above lowest polymorph**: 0.0 meV/atom

7.
# InAuIO2

An optimized crystal structure of InAuIO2 (PBE-GGA, Alexandria via LeMat-Bulk).

Lattice parameters (Å, degrees): 4.3203 4.3203 5.5644 90.00 90.00 90.00
Closest atoms and distances in Å follow each position.
Fractional coordinates of all 5 atoms:
I  0.0000  0.0000  0.5000  2 Au 2.78, 4 In 3.05
Au  0.0000  0.0000  0.0000  4 O 2.16
O  0.0000  0.5000  0.0000  2 Au 2.16
O  0.5000  0.0000  0.0000  2 Au 2.16
In  0.5000  0.5000  0.5000  4 I 3.05

**Crystal system**: tetragonal
**Density of states at the Fermi level**: 1.7712 states/eV per atom
**Size of the total moment**: 0.00 μB per cell
**Space group**: No. 123
**Raw formation energy**: 0.350 eV/atom
**E above lowest polymorph**: 505.4 meV/atom

8.
# RbInAuI2

An optimized crystal structure of RbInAuI2 (PBE-GGA, Alexandria via LeMat-Bulk).

Lattice parameters (Å, degrees): 6.3495 6.3495 5.2795 90.00 90.00 90.00
Closest atoms and distances in Å follow each position.
Fractional coordinates of all 5 atoms:
I  0.0000  0.5000  0.0000  2 In 3.17
I  0.5000  0.0000  0.0000  2 In 3.17
Au  0.0000  0.0000  0.5000  2 In 2.64
Rb  0.5000  0.5000  0.5000  8 I 4.13, 4 Au 4.49
In  0.0000  0.0000  0.0000  2 Au 2.64

**Crystal system**: tetragonal
**Density of states at the Fermi level**: 0.1077 states/eV per atom
**Size of the total moment**: 0.00 μB per cell
**Space group**: No. 123
**Raw formation energy**: -0.605 eV/atom

> The lowest density of states at the Fermi level belongs to which entry?

In2AuI